Here is SrSb3 after structural relaxation from Alexandria via LeMat-Bulk. Energies are from PBE.

Computed properties:
As for the formation energy (no corrections): -0.23 eV/atom. The total energy is -3.745 eV per atom. The calculation puts the total magnetic moment at 0.00 μB/f.u.

```
8
Lattice="5.662 -7.932 0.000 5.662 7.932 0.000 0.000 0.000 4.206" Properties=species:S:1:pos:R:3 pbc="T T T"
Sr 5.662 3.706 1.051
Sr 5.662 -3.706 3.154
Sb 5.662 -7.012 3.154
Sb 5.662 7.012 1.051
Sb 8.886 -2.991 3.154
Sb 2.438 2.991 1.051
Sb 2.438 -2.991 3.154
Sb 8.886 2.991 1.051
```